1.
A plane-wave DFT calculation with PBE was carried out for Pr2CuPt2 after structural relaxation.

a b c (Å): 10.973 4.264 11.047
angles (deg): 90.00 118.65 90.00
Space group C2/m (No. 12)
Unique sites:
Pr  0.025  0.000  0.345 x4
Pr  0.189  0.000  0.107 x4
Cu  0.216  0.500  0.334 x4
Pt  0.033  0.500  0.887 x4
Pt  0.144  0.500  0.575 x4

Formation energy from the elements, meV per atom: -846
Total magnetization, μB/atom: 0.00
ρ, g cm⁻³: 10.8
Density of states at the Fermi level, states/eV per atom: 0.651


2.
A plane-wave DFT calculation with PBE was carried out for CuW2I after structural relaxation.

a b c (Å): 3.901 3.901 19.633
angles (deg): 90.00 90.00 90.00
Space group I-42d (No. 122)
Unique sites:
Cu  0.000  0.000  0.000 x4
W  0.211  0.250  0.125 x8
I  0.000  0.000  0.500 x4

E above lowest polymorph, meV/atom: 0
Total magnetization, μB/atom: 0.00
Formation energy (no corrections), meV/atom: 1176
ρ, g cm⁻³: 12.4
Density of states at the Fermi level, states/eV per atom: 0.745


3.
A plane-wave DFT calculation with PBE was carried out for Dy4ZrIn5 after structural relaxation.

a b c (Å): 3.529 3.529 20.541
angles (deg): 90.00 90.00 90.00
Space group P4/mmm (No. 123)
Unique sites:
Dy  0.000  0.000  0.102 x2
Dy  0.000  0.000  0.306 x2
Zr  0.000  0.000  0.500 x1
In  0.500  0.500  0.000 x1
In  0.500  0.500  0.204 x2
In  0.500  0.500  0.408 x2

Formation energy from the elements, meV per atom: -407
Total magnetization, μB/atom: 0.00
ρ, g cm⁻³: 8.5
Density of states at the Fermi level, states/eV per atom: 0.526


4.
A plane-wave DFT calculation with PBE was carried out for Mg5Zr3H12 after structural relaxation.

a b c (Å): 11.751 11.751 11.751
angles (deg): 90.00 90.00 90.00
Space group Ia-3d (No. 230)
Unique sites:
Mg  0.000  0.000  0.000 x16
Mg  0.000  0.250  0.375 x24
Zr  0.000  0.250  0.125 x24
H  0.009  0.072  0.656 x96

Total energy, eV/atom: -3.8498
Total magnetization, μB/atom: 0.00
ρ, g cm⁻³: 3.3
Density of states at the Fermi level, states/eV per atom: 0.560


5.
A plane-wave DFT calculation with PBE was carried out for NbSi4Tc2 after structural relaxation.

a b c (Å): 4.622 4.622 12.339
angles (deg): 90.00 90.00 90.00
Space group I4/mmm (No. 139)
Unique sites:
Nb  0.000  0.000  0.000 x2
Si  0.000  0.000  0.207 x4
Si  0.000  0.500  0.000 x4
Tc  0.000  0.000  0.397 x4

Total magnetization, μB/atom: 0.22
Formation energy (no corrections), meV/atom: 643
ρ, g cm⁻³: 5.1
Density of states at the Fermi level, states/eV per atom: 0.575


6.
A plane-wave DFT calculation with PBE was carried out for NbSnBi2 after structural relaxation.

a b c (Å): 3.2543 3.2543 36.4091
angles (deg): 90.00 90.00 120.00
Space group R-3m (No. 166, hexagonal axes)
Unique sites:
Nb  0.0000  0.0000  0.0000 x3
Sn  0.0000  0.0000  0.5000 x3
Bi  0.0000  0.0000  0.0813 x6

Formation energy from the elements, meV per atom: 586
Total magnetization, μB/atom: 0.00
ρ, g cm⁻³: 9.4
Density of states at the Fermi level, states/eV per atom: 1.267


7.
A plane-wave DFT calculation with PBE was carried out for NdZrCuAu after structural relaxation.

a b c (Å): 7.046 7.046 7.046
angles (deg): 90.00 90.00 90.00
Space group F-43m (No. 216)
Unique sites:
Nd  0.000  0.000  0.000 x4
Zr  0.000  0.000  0.500 x4
Cu  0.250  0.250  0.250 x4
Au  0.250  0.250  0.750 x4

Formation energy from the elements, meV per atom: -244
Total magnetization, μB/atom: 0.22
ρ, g cm⁻³: 9.4
Density of states at the Fermi level, states/eV per atom: 1.147


8.
A plane-wave DFT calculation with PBE was carried out for Rb4Hg4Pd after structural relaxation.

a b c (Å): 10.477 10.477 7.351
angles (deg): 90.00 90.00 90.00
Space group P4_2/nmc (No. 137, origin choice 2)
Unique sites:
Rb  0.029  0.250  0.029 x8
Hg  0.037  0.750  0.472 x8
Pd  0.250  0.750  0.250 x2

Formation energy from the elements, meV per atom: -192
Total magnetization, μB/atom: 0.00
ρ, g cm⁻³: 5.1
Density of states at the Fermi level, states/eV per atom: 0.596